Here is crystalline RbInAg2 at its relaxed geometry from Alexandria via LeMat-Bulk. Energies are from GGA-PBE.

It has space group P4/mmm (No. 123), with a = 3.795 Å, b = 3.795 Å, c = 8.042 Å, α = 90.00°, β = 90.00° and γ = 90.00°. The distinct sites, in fractional coordinates, are Rb at (0.000, 0.000, 0.000), In at (0.000, 0.000, 0.500) and Ag at (0.500, 0.500, 0.323).

The calculated volume comes out at 29.0 A^3/atom. Its energy relative to the elements is 0.5 eV per formula unit. The calculation puts the mass density at 6.0 Mg/m³. The calculation puts the total magnetization at 0.000 μB/f.u.